# 1
A relaxed SiPdF2 crystal. Source: Alexandria, functional PBE.

Its raw total energy is -4.1956 eV/atom.

Cell lengths 5.8969, 5.8969, 5.8969 Å; angles 90.00, 90.00, 90.00 degrees
Space group Fm-3m (No. 225)
Inequivalent atoms, fractional coordinates:
Si: 0.0000 0.0000 0.0000 x4
Pd: 0.0000 0.0000 0.5000 x4
F: 0.2500 0.2500 0.2500 x8

# 2
A relaxed SiPdF3 crystal. Source: Alexandria, functional PBE.

Its raw total energy is -3.8525 eV/atom.

Cell lengths 4.2715, 4.2715, 4.2715 Å; angles 90.00, 90.00, 90.00 degrees
Space group Pm-3m (No. 221)
Inequivalent atoms, fractional coordinates:
Si: 0.0000 0.0000 0.0000 x1
Pd: 0.5000 0.5000 0.5000 x1
F: 0.0000 0.5000 0.5000 x3

# 3
A relaxed Si2TcPdF crystal. Source: Alexandria, functional PBE.

Its raw total energy is -5.6587 eV/atom.

Cell lengths 4.6563, 4.6563, 3.9564 Å; angles 90.00, 90.00, 90.00 degrees
Space group P4/mmm (No. 123)
Inequivalent atoms, fractional coordinates:
Si: 0.0000 0.5000 0.0000 x2
Tc: 0.0000 0.0000 0.0000 x1
Pd: 0.5000 0.5000 0.5000 x1
F: 0.0000 0.0000 0.5000 x1

# 4
A relaxed SiTePdF2 crystal. Source: Alexandria, functional PBE.

Its raw total energy is -4.0182 eV/atom.

Cell lengths 4.1748, 4.1748, 5.5483 Å; angles 90.00, 90.00, 90.00 degrees
Space group P4/mmm (No. 123)
Inequivalent atoms, fractional coordinates:
Si: 0.0000 0.0000 0.0000 x1
Te: 0.5000 0.5000 0.0000 x1
Pd: 0.5000 0.5000 0.5000 x1
F: 0.0000 0.5000 0.5000 x2

# 5
A relaxed TlSi2PdF crystal. Source: Alexandria, functional PBE.

Its raw total energy is -4.1507 eV/atom.

Cell lengths 4.4975, 4.4975, 6.3643 Å; angles 90.00, 90.00, 90.00 degrees
Space group P4/mmm (No. 123)
Inequivalent atoms, fractional coordinates:
Tl: 0.0000 0.0000 0.0000 x1
Si: 0.0000 0.5000 0.5000 x2
Pd: 0.0000 0.0000 0.5000 x1
F: 0.5000 0.5000 0.0000 x1

# 6
A relaxed SmPdF crystal. Source: Alexandria, functional PBE.

Its raw total energy is -6.0592 eV/atom.

Cell lengths 3.9904, 4.0022, 7.2034 Å; angles 90.00, 90.00, 90.00 degrees
Space group Pmmn (No. 59, origin choice 2)
Inequivalent atoms, fractional coordinates:
Sm: 0.2500 0.2500 0.2107 x2
Pd: 0.2500 0.7500 0.4994 x2
F: 0.2500 0.7500 0.9995 x2

# 7
A relaxed Sm2PdF crystal. Source: Alexandria, functional PBE.

Its raw total energy is -5.1714 eV/atom.

Cell lengths 3.2910, 3.2910, 27.5443 Å; angles 90.00, 90.00, 120.00 degrees
Space group R-3m (No. 166, hexagonal axes)
Inequivalent atoms, fractional coordinates:
Sm: 0.0000 0.0000 0.0961 x6
Pd: 0.0000 0.0000 0.0000 x3
F: 0.0000 0.0000 0.5000 x3

# 8
A relaxed Sm2PdF8 crystal. Source: Alexandria, functional PBE.

Its raw total energy is -5.9274 eV/atom.

Cell lengths 15.6143, 3.6910, 5.4637 Å; angles 90.00, 110.42, 90.00 degrees
Space group C2/m (No. 12)
Inequivalent atoms, fractional coordinates:
Sm: 0.1759 0.0000 0.1832 x4
Pd: 0.0000 0.5000 0.5000 x2
F: 0.0475 0.0000 0.3351 x4
F: 0.0937 0.5000 0.9229 x4
F: 0.1831 0.5000 0.4586 x4
F: 0.2235 0.0000 0.8299 x4

# 9
A relaxed SnPdF crystal. Source: Alexandria, functional PBE.

Its raw total energy is -4.8049 eV/atom.

Cell lengths 15.7266, 4.5537, 7.9918 Å; angles 90.00, 117.60, 90.00 degrees
Space group C2/m (No. 12)
Inequivalent atoms, fractional coordinates:
Sn: 0.0797 0.0000 0.4426 x4
Sn: 0.1809 0.0000 0.0294 x4
Pd: 0.2385 0.0000 0.4053 x4
Pd: 0.2478 0.5000 0.2203 x4
F: 0.0270 0.0000 0.8525 x4
F: 0.0633 0.5000 0.4060 x4

# 10
A relaxed SnPdF2 crystal. Source: Alexandria, functional PBE.

Its raw total energy is -4.3068 eV/atom.

Cell lengths 3.1051, 3.1051, 23.7823 Å; angles 90.00, 90.00, 120.00 degrees
Space group R-3m (No. 166, hexagonal axes)
Inequivalent atoms, fractional coordinates:
Sn: 0.0000 0.0000 0.0000 x3
Pd: 0.0000 0.0000 0.5000 x3
F: 0.0000 0.0000 0.4138 x6

# 11
A relaxed SnPdF crystal. Source: Alexandria, functional PBE.

Its raw total energy is -4.5251 eV/atom.

Cell lengths 3.5677, 3.5677, 8.2185 Å; angles 90.00, 90.00, 90.00 degrees
Space group I4mm (No. 107)
Inequivalent atoms, fractional coordinates:
Sn: 0.0000 0.0000 0.0000 x2
Pd: 0.0000 0.0000 0.3617 x2
F: 0.0000 0.0000 0.7207 x2

# 12
A relaxed SnPd3F9 crystal. Source: Alexandria, functional PBE.

Its raw total energy is -4.2912 eV/atom.

Cell lengths 13.2620, 8.3179, 10.8465 Å; angles 90.00, 123.60, 90.00 degrees
Space group Cc (No. 9)
Inequivalent atoms, fractional coordinates:
Sn: 0.0000 0.1869 0.0000 x4
Pd: 0.2703 0.0081 0.8394 x4
Pd: 0.3439 0.3826 0.8158 x4
Pd: 0.4292 0.0693 0.7663 x4
F: 0.0463 0.2855 0.1890 x4
F: 0.0481 0.3717 0.9252 x4
F: 0.1543 0.0598 0.1047 x4
F: 0.2199 0.2433 0.8113 x4
F: 0.3081 0.2670 0.6381 x4
F: 0.3270 0.2300 0.3732 x4
F: 0.3697 0.0457 0.0582 x4
F: 0.4072 0.4937 0.0139 x4
F: 0.4592 0.4514 0.3184 x4